[1]
# YURu3

Crystalline YURu3 at its relaxed geometry (GGA-PBE, Alexandria).

The structure belongs to space group C2 (No. 5); the cell edges are 9.657, 5.699 and 8.311 Å and the angles 90.00°, 125.38° and 90.00°. The asymmetric unit holds Y at (0.202, 0.000, 0.076), U at (0.000, 0.478, 0.500), U at (0.000, 0.501, 0.000), Ru at (0.075, 0.759, 0.333), Ru at (0.083, 0.219, 0.331) and Ru at (0.210, 0.999, 0.725).

The formation energy comes out at -157 meV per atom. Its crystal system is monoclinic. For the total energy, the calculation gives -9.2734 eV per atom. As for the volume: 18.646 Å³ per atom. Its energy above the most stable polymorph in this dataset is 74.5 meV per atom. For the density, the calculation gives 11.2 g/cm³.

[2]
# Y3U2Ru6

Crystalline Y3U2Ru6 at its relaxed geometry (GGA-PBE, Alexandria).

The structure belongs to space group Im-3m (No. 229); the cell edges are 9.544, 9.544 and 9.544 Å and the angles 90.00°, 90.00° and 90.00°. The asymmetric unit holds Y at (0.000, 0.000, 0.287), U at (0.250, 0.250, 0.250) and Ru at (0.000, 0.346, 0.346).

The formation energy comes out at -320 meV per atom. Its crystal system is cubic. For the total energy, the calculation gives -9.1950 eV per atom. As for the volume: 19.760 Å³ per atom. For the density, the calculation gives 10.3 g/cm³.